Entry 1:
The following is a PBE calculation of a geometry-optimized Rb4TlZn3F12 structure, from Alexandria via LeMat-Bulk.

Calculated values
ΔE_f (raw) in kcal/mol of atoms: -55.8
Total magnetization in μB per cell: 0.00
VASP energy in eV per atom: -4.05

Cell: 7.507 7.507 7.507 Å, 109.47 109.47 109.47°
Atoms (fractional coordinates):
Rb (0.000, 0.000, 0.500)
Rb (0.000, 0.500, 0.000)
Rb (0.500, 0.000, 0.000)
Rb (0.500, 0.500, 0.500)
Tl (0.000, 0.000, 0.000)
Zn (0.000, 0.500, 0.500)
Zn (0.500, 0.000, 0.500)
Zn (0.500, 0.500, 0.000)
F (0.000, 0.272, 0.272)
F (0.000, 0.728, 0.728)
F (0.250, 0.500, 0.750)
F (0.250, 0.750, 0.500)
F (0.272, 0.000, 0.272)
F (0.272, 0.272, 0.000)
F (0.500, 0.250, 0.750)
F (0.500, 0.750, 0.250)
F (0.728, 0.000, 0.728)
F (0.728, 0.728, 0.000)
F (0.750, 0.250, 0.500)
F (0.750, 0.500, 0.250)



Entry 2:
The following is a PBE calculation of a geometry-optimized LaCuO3 structure, from Alexandria via LeMat-Bulk.

Calculated values
ΔE_f (raw) in kcal/mol of atoms: -29.6
Total magnetization in μB per cell: 0.00
VASP energy in eV per atom: -6.07

Cell: 9.278 9.278 9.278 Å, 152.81 152.81 38.84°
Atoms (fractional coordinates):
La (0.000, 0.000, 0.000)
La (0.750, 0.250, 0.500)
Cu (0.180, 0.680, 0.500)
Cu (0.320, 0.820, 0.500)
O (0.298, 0.298, 0.000)
O (0.431, 0.098, 0.334)
O (0.702, 0.702, 0.000)
O (0.764, 0.098, 0.666)
O (0.902, 0.236, 0.334)
O (0.902, 0.569, 0.666)



Entry 3:
The following is a PBE calculation of a geometry-optimized Zn2CuAu5 structure, from Alexandria via LeMat-Bulk.

Calculated values
E above lowest polymorph in meV per atom: 0
Energy of formation from the pure elements in eV per atom: -0.137
Total magnetization in μB per cell: 0.00
VASP energy in eV per atom: -3.02

Cell: 5.634 11.292 4.152 Å, 90.00 90.00 90.00°
Atoms (fractional coordinates):
Zn (0.217, 0.130, 0.000)
Zn (0.283, 0.630, 0.000)
Zn (0.717, 0.370, 0.000)
Zn (0.783, 0.870, 0.000)
Cu (0.000, 0.500, 0.500)
Cu (0.500, 0.000, 0.500)
Au (0.000, 0.000, 0.500)
Au (0.046, 0.741, 0.500)
Au (0.211, 0.389, 0.000)
Au (0.289, 0.889, 0.000)
Au (0.454, 0.241, 0.500)
Au (0.500, 0.500, 0.500)
Au (0.546, 0.759, 0.500)
Au (0.711, 0.111, 0.000)
Au (0.789, 0.611, 0.000)
Au (0.954, 0.259, 0.500)



Entry 4:
The following is a PBE calculation of a geometry-optimized SbRuC3 structure, from Alexandria via LeMat-Bulk.

Calculated values
ΔE_f (raw) in kcal/mol of atoms: 47.5
E above lowest polymorph in meV per atom: 0
Total magnetization in μB per cell: 0.00
VASP energy in eV per atom: -6.16

Cell: 4.053 4.053 4.053 Å, 90.00 90.00 90.00°
Atoms (fractional coordinates):
Sb (0.000, 0.000, 0.000)
Ru (0.500, 0.500, 0.500)
C (0.000, 0.500, 0.500)
C (0.500, 0.000, 0.500)
C (0.500, 0.500, 0.000)



Entry 5:
The following is a PBE calculation of a geometry-optimized K2BeB2 structure, from Alexandria via LeMat-Bulk.

Calculated values
E above lowest polymorph in meV per atom: 93
Energy of formation from the pure elements in eV per atom: 1.429
Total magnetization in μB per cell: 0.00
VASP energy in eV per atom: -2.43

Cell: 9.079 9.079 2.695 Å, 90.00 90.00 90.00°
Atoms (fractional coordinates):
K (0.214, 0.286, 0.000)
K (0.286, 0.786, 0.000)
K (0.714, 0.214, 0.000)
K (0.786, 0.714, 0.000)
Be (0.000, 0.000, 0.000)
Be (0.500, 0.500, 0.000)
B (0.062, 0.562, 0.500)
B (0.438, 0.062, 0.500)
B (0.562, 0.938, 0.500)
B (0.938, 0.438, 0.500)



Entry 6:
The following is a PBE calculation of a geometry-optimized Ta2BeRe structure, from Alexandria via LeMat-Bulk.

Calculated values
E above lowest polymorph in meV per atom: 197
Energy of formation from the pure elements in eV per atom: 0.065
Total magnetization in μB per cell: 0.00
VASP energy in eV per atom: -9.90

Cell: 5.490 8.619 2.745 Å, 90.00 106.64 90.00°
Atoms (fractional coordinates):
Ta (0.250, 0.250, 0.000)
Ta (0.250, 0.750, 0.000)
Ta (0.750, 0.250, 0.000)
Ta (0.750, 0.750, 0.000)
Be (0.000, 0.000, 0.500)
Be (0.500, 0.500, 0.500)
Re (0.000, 0.500, 0.500)
Re (0.500, 0.000, 0.500)



Entry 7:
The following is a PBE calculation of a geometry-optimized NbV2Zn2 structure, from Alexandria via LeMat-Bulk.

Calculated values
E above lowest polymorph in meV per atom: 12
Energy of formation from the pure elements in eV per atom: 0.192
Total magnetization in μB per cell: 0.00
VASP energy in eV per atom: -5.98

Cell: 7.394 7.394 2.738 Å, 90.00 90.00 90.00°
Atoms (fractional coordinates):
Nb (0.000, 0.000, 0.000)
Nb (0.500, 0.500, 0.000)
V (0.113, 0.387, 0.000)
V (0.387, 0.887, 0.000)
V (0.613, 0.113, 0.000)
V (0.887, 0.613, 0.000)
Zn (0.182, 0.682, 0.500)
Zn (0.318, 0.182, 0.500)
Zn (0.682, 0.818, 0.500)
Zn (0.818, 0.318, 0.500)



Entry 8:
The following is a PBE calculation of a geometry-optimized Zr2FeCo structure, from Alexandria via LeMat-Bulk.

Calculated values
E above lowest polymorph in meV per atom: 0
Energy of formation from the pure elements in eV per atom: -0.240
Total magnetization in μB per cell: 4.38
VASP energy in eV per atom: -8.41

Cell: 6.377 6.377 6.377 Å, 90.00 90.00 90.00°
Atoms (fractional coordinates):
Zr (0.250, 0.250, 0.250)
Zr (0.250, 0.250, 0.750)
Zr (0.250, 0.750, 0.250)
Zr (0.250, 0.750, 0.750)
Zr (0.750, 0.250, 0.250)
Zr (0.750, 0.250, 0.750)
Zr (0.750, 0.750, 0.250)
Zr (0.750, 0.750, 0.750)
Fe (0.000, 0.000, 0.000)
Fe (0.000, 0.500, 0.500)
Fe (0.500, 0.000, 0.500)
Fe (0.500, 0.500, 0.000)
Co (0.000, 0.000, 0.500)
Co (0.000, 0.500, 0.000)
Co (0.500, 0.000, 0.000)
Co (0.500, 0.500, 0.500)



Entry 9:
The following is a PBE calculation of a geometry-optimized Pr9Ho4Hg11 structure, from Alexandria via LeMat-Bulk.

Calculated values
Energy of formation from the pure elements in eV per atom: -0.385
Total magnetization in μB per cell: 3.24
VASP energy in eV per atom: -3.08

Cell: 14.232 14.232 3.595 Å, 90.00 90.00 111.86°
Atoms (fractional coordinates):
Pr (0.000, 0.000, 0.000)
Pr (0.133, 0.642, 0.000)
Pr (0.292, 0.453, 0.000)
Pr (0.358, 0.867, 0.000)
Pr (0.453, 0.292, 0.000)
Pr (0.547, 0.708, 0.000)
Pr (0.642, 0.133, 0.000)
Pr (0.708, 0.547, 0.000)
Pr (0.867, 0.358, 0.000)
Ho (0.053, 0.247, 0.000)
Ho (0.247, 0.053, 0.000)
Ho (0.753, 0.947, 0.000)
Ho (0.947, 0.753, 0.000)
Hg (0.083, 0.437, 0.500)
Hg (0.138, 0.862, 0.500)
Hg (0.220, 0.220, 0.500)
Hg (0.338, 0.662, 0.500)
Hg (0.437, 0.083, 0.500)
Hg (0.500, 0.500, 0.500)
Hg (0.563, 0.917, 0.500)
Hg (0.662, 0.338, 0.500)
Hg (0.780, 0.780, 0.500)
Hg (0.862, 0.138, 0.500)
Hg (0.917, 0.563, 0.500)



Entry 10:
The following is a PBE calculation of a geometry-optimized Ba3SnI structure, from Alexandria via LeMat-Bulk.

Calculated values
ΔE_f (raw) in kcal/mol of atoms: -16.0
E above lowest polymorph in meV per atom: 0
Total magnetization in μB per cell: 0.14
VASP energy in eV per atom: -2.96

Cell: 9.351 9.351 9.421 Å, 111.27 111.27 58.35°
Atoms (fractional coordinates):
Ba (0.056, 0.056, 0.250)
Ba (0.063, 0.564, 0.257)
Ba (0.436, 0.937, 0.743)
Ba (0.564, 0.063, 0.257)
Ba (0.937, 0.436, 0.743)
Ba (0.944, 0.944, 0.750)
Sn (0.167, 0.167, 0.005)
Sn (0.833, 0.833, 0.995)
I (0.291, 0.291, 0.568)
I (0.709, 0.709, 0.432)



Entry 11:
The following is a PBE calculation of a geometry-optimized Mg6BiSb structure, from Alexandria via LeMat-Bulk.

Calculated values
ΔE_f (raw) in kcal/mol of atoms: -2.1
E above lowest polymorph in meV per atom: 0
Total magnetization in μB per cell: 0.00
VASP energy in eV per atom: -2.29

Cell: 5.171 6.226 12.557 Å, 90.00 90.00 90.00°
Atoms (fractional coordinates):
Mg (0.000, 0.000, 0.000)
Mg (0.000, 0.240, 0.770)
Mg (0.000, 0.260, 0.270)
Mg (0.000, 0.500, 0.500)
Mg (0.000, 0.740, 0.270)
Mg (0.000, 0.760, 0.770)
Mg (0.500, 0.000, 0.865)
Mg (0.500, 0.243, 0.091)
Mg (0.500, 0.257, 0.591)
Mg (0.500, 0.500, 0.365)
Mg (0.500, 0.743, 0.591)
Mg (0.500, 0.757, 0.091)
Bi (0.500, 0.000, 0.317)
Bi (0.500, 0.500, 0.817)
Sb (0.000, 0.000, 0.560)
Sb (0.000, 0.500, 0.060)



Entry 12:
The following is a PBE calculation of a geometry-optimized La3Cr5Se12 structure, from Alexandria via LeMat-Bulk.

Calculated values
ΔE_f (raw) in kcal/mol of atoms: -22.2
Total magnetization in μB per cell: 60.00
VASP energy in eV per atom: -6.20

Cell: 13.812 13.812 13.812 Å, 109.47 109.47 109.47°
Atoms (fractional coordinates):
La (0.125, 0.250, 0.375)
La (0.125, 0.375, 0.750)
La (0.250, 0.375, 0.125)
La (0.250, 0.875, 0.625)
La (0.375, 0.125, 0.250)
La (0.375, 0.750, 0.125)
La (0.625, 0.250, 0.875)
La (0.625, 0.875, 0.750)
La (0.750, 0.125, 0.375)
La (0.750, 0.625, 0.875)
La (0.875, 0.625, 0.250)
La (0.875, 0.750, 0.625)
Cr (0.000, 0.000, 0.000)
Cr (0.000, 0.000, 0.500)
Cr (0.000, 0.500, 0.000)
Cr (0.000, 0.500, 0.500)
Cr (0.125, 0.750, 0.875)
Cr (0.125, 0.875, 0.250)
Cr (0.250, 0.125, 0.875)
Cr (0.250, 0.625, 0.375)
Cr (0.375, 0.250, 0.625)
Cr (0.375, 0.625, 0.750)
Cr (0.500, 0.000, 0.000)
Cr (0.500, 0.000, 0.500)
Cr (0.500, 0.500, 0.000)
Cr (0.500, 0.500, 0.500)
Cr (0.625, 0.375, 0.250)
Cr (0.625, 0.750, 0.375)
Cr (0.750, 0.375, 0.625)
Cr (0.750, 0.875, 0.125)
Cr (0.875, 0.125, 0.750)
Cr (0.875, 0.250, 0.125)
Se (0.025, 0.204, 0.117)
Se (0.025, 0.321, 0.909)
Se (0.087, 0.704, 0.679)
Se (0.087, 0.883, 0.409)
Se (0.091, 0.617, 0.413)
Se (0.091, 0.975, 0.679)
Se (0.117, 0.025, 0.204)
Se (0.117, 0.591, 0.913)
Se (0.179, 0.204, 0.587)
Se (0.179, 0.475, 0.591)
Se (0.204, 0.117, 0.025)
Se (0.204, 0.587, 0.179)
Se (0.296, 0.321, 0.913)
Se (0.296, 0.475, 0.383)
Se (0.321, 0.909, 0.025)
Se (0.321, 0.913, 0.296)
Se (0.383, 0.296, 0.475)
Se (0.383, 0.587, 0.909)
Se (0.409, 0.087, 0.883)
Se (0.409, 0.821, 0.525)
Se (0.413, 0.091, 0.617)
Se (0.413, 0.821, 0.796)
Se (0.475, 0.383, 0.296)
Se (0.475, 0.591, 0.179)
Se (0.525, 0.409, 0.821)
Se (0.525, 0.617, 0.704)
Se (0.587, 0.179, 0.204)
Se (0.587, 0.909, 0.383)
Se (0.591, 0.179, 0.475)
Se (0.591, 0.913, 0.117)
Se (0.617, 0.413, 0.091)
Se (0.617, 0.704, 0.525)
Se (0.679, 0.087, 0.704)
Se (0.679, 0.091, 0.975)
Se (0.704, 0.525, 0.617)
Se (0.704, 0.679, 0.087)
Se (0.796, 0.413, 0.821)
Se (0.796, 0.883, 0.975)
Se (0.821, 0.525, 0.409)
Se (0.821, 0.796, 0.413)
Se (0.883, 0.409, 0.087)
Se (0.883, 0.975, 0.796)
Se (0.909, 0.025, 0.321)
Se (0.909, 0.383, 0.587)
Se (0.913, 0.117, 0.591)
Se (0.913, 0.296, 0.321)
Se (0.975, 0.679, 0.091)
Se (0.975, 0.796, 0.883)